Here is a relaxed LiAlH2 crystal from Alexandria. Energies are from PBE.

abc: 2.8012 2.8012 5.8481
angles: 76.14 76.14 60.00
Closest atoms and distances in Å follow each position.
Fractional positions:
H: 0.1049 0.1049 0.6852  1 Al 1.77, 3 Li 1.92
Al: 0.0000 0.0000 0.0000  2 H 1.77
Li: 0.5000 0.5000 0.5000  6 H 1.92
H: 0.8951 0.8951 0.3148  1 Al 1.77, 3 Li 1.92

Space-group type: R-3m
Polymorph energy (0 for the lowest one): 0 meV/atom
Total energy: -3.26 eV per atom

---

Here is a relaxed Ca2TmBi crystal from Alexandria. Energies are from PBE.

abc: 3.6551 3.6551 12.5529
angles: 81.63 81.63 60.00
Closest atoms and distances in Å follow each position.
Fractional positions:
Bi: 0.0000 0.0000 0.0000  2 Ca 3.22
Ca: 0.0867 0.0867 0.7398  1 Bi 3.22
Tm: 0.5000 0.5000 0.5000  6 Ca 3.64, 6 Tm 3.66
Ca: 0.9133 0.9133 0.2602  1 Bi 3.22

Formation energy: 35 meV per atom
Space-group type: R-3m
Total energy: -3.05 eV per atom

---

Here is a relaxed LiTaZn2 crystal from Alexandria. Energies are from PBE.

abc: 4.3683 4.3683 4.3683
angles: 60.00 60.00 60.00
Closest atoms and distances in Å follow each position.
Fractional positions:
Zn: 0.2500 0.2500 0.2500  4 Li 2.68, 4 Zn 2.68
Ta: 0.7500 0.7500 0.7500  4 Li 2.68, 4 Zn 2.68
Li: 0.5000 0.5000 0.5000  4 Ta 2.68, 4 Zn 2.68
Zn: 0.0000 0.0000 0.0000  4 Ta 2.68, 4 Zn 2.68

Formation energy: 318 meV per atom
Space-group type: F-43m
Polymorph energy (0 for the lowest one): 385 meV/atom
Total energy: -3.76 eV per atom

---

Here is a relaxed LiFeAs crystal from Alexandria. Energies are from PBE.

abc: 4.0675 4.0675 10.3334
angles: 90.00 90.00 120.00
Closest atoms and distances in Å follow each position.
Fractional positions:
Fe: 0.0000 0.0000 0.0000  6 As 2.60, 2 Li 2.61, 6 Fe 2.72
Li: 0.0000 0.0000 0.7478  5 Fe 2.56-2.66, 3 Li 2.62, 6 As 2.71-2.78
Li: 0.3333 0.6667 0.6348  4 As 2.36-2.60, 3 Li 2.62
As: 0.3333 0.6667 0.3833  4 Li 2.36-2.60, 1 Fe 2.60
As: 0.6667 0.3333 0.1087  7 Fe 2.36-2.60
Li: 0.6667 0.3333 0.3652  4 As 2.36-2.60, 3 Li 2.62
As: 0.6667 0.3333 0.6167  4 Li 2.36-2.60, 1 Fe 2.60
Fe: 0.3333 0.6667 0.1319  5 As 2.36-2.60
Fe: 0.6667 0.3333 0.8681  5 As 2.36-2.60
As: 0.3333 0.6667 0.8913  7 Fe 2.36-2.60
Li: 0.0000 0.0000 0.2522  5 Fe 2.56-2.66, 3 Li 2.62, 6 As 2.71-2.78
Fe: 0.0000 0.0000 0.5000  8 Li 2.56-2.73, 6 As 2.64

Formation energy: -219 meV per atom
Space-group type: P-3m1
Total energy: -5.23 eV per atom

---

Here is a relaxed BaAs2OsSe crystal from Alexandria. Energies are from PBE.

abc: 5.5339 5.5339 5.6572
angles: 90.00 90.00 90.00
Closest atoms and distances in Å follow each position.
Fractional positions:
As: 0.5000 0.0000 0.0000  2 Ba 2.77
Ba: 0.0000 0.0000 0.0000  4 As 2.77, 2 Se 2.83
Os: 0.5000 0.5000 0.5000  4 Se 3.91, 8 As 3.96
As: 0.0000 0.5000 0.0000  2 Ba 2.77
Se: 0.0000 0.0000 0.5000  2 Ba 2.83

Space-group type: P4/mmm
Energy relative to the elements, uncorrected: 11.8 eV/f.u.
Polymorph energy (0 for the lowest one): 2650 meV/atom
Total energy: -2.83 eV per atom

---

Here is a relaxed MnSiI2 crystal from Alexandria. Energies are from PBE.

abc: 5.1882 5.1882 5.1882
angles: 60.00 60.00 60.00
Closest atoms and distances in Å follow each position.
Fractional positions:
I: 0.2500 0.2500 0.2500  4 Mn 3.18, 4 Si 3.18
I: 0.7500 0.7500 0.7500  4 Mn 3.18, 4 Si 3.18
Mn: 0.5000 0.5000 0.5000  8 I 3.18
Si: 0.0000 0.0000 0.0000  8 I 3.18

Space-group type: Fm-3m
Energy relative to the elements, uncorrected: 2.7 eV/f.u.
Polymorph energy (0 for the lowest one): 0 meV/atom
Total energy: -3.75 eV per atom

---

Here is a relaxed TeI2BrCl crystal from Alexandria. Energies are from PBE.

abc: 5.7298 5.7298 5.4405
angles: 90.00 90.00 90.00
Closest atoms and distances in Å follow each position.
Fractional positions:
Te: 0.0000 0.0000 0.5000  2 Cl 2.72
Br: 0.5000 0.5000 0.5000  8 I 3.95, 4 Te 4.05
I: 0.5000 0.0000 0.0000  2 Cl 2.86
I: 0.0000 0.5000 0.0000  2 Cl 2.86
Cl: 0.0000 0.0000 0.0000  2 Te 2.72, 4 I 2.86

Space-group type: P4/mmm
Energy relative to the elements, uncorrected: 3.1 eV/f.u.
Polymorph energy (0 for the lowest one): 10 meV/atom
Total energy: -1.32 eV per atom

---

Here is a relaxed Cd2TePb crystal from Alexandria. Energies are from PBE.

abc: 5.0826 5.0826 6.3904
angles: 72.60 72.60 50.73
Closest atoms and distances in Å follow each position.
Fractional positions:
Cd: 0.0027 0.0027 0.9638  3 Cd 2.90-3.10, 1 Te 2.95
Pb: 0.5181 0.5181 0.5484  3 Cd 3.00-3.24, 2 Te 3.23
Te: 0.2262 0.2262 0.2065  1 Cd 2.95, 2 Pb 3.23
Cd: 0.7530 0.7530 0.7812  3 Cd 2.90-3.10, 3 Pb 3.00-3.24

Space-group type: Cm
Energy relative to the elements, uncorrected: -0.3 eV/f.u.
Polymorph energy (0 for the lowest one): 4 meV/atom
Total energy: -2.24 eV per atom

---

Here is a relaxed Be3Zn crystal from Alexandria. Energies are from PBE.

abc: 4.2866 4.2866 4.2866
angles: 90.00 90.00 90.00
Closest atoms and distances in Å follow each position.
Fractional positions:
Be: 0.5000 0.0000 0.2500  2 Be 2.14, 4 Zn 2.40
Be: 0.5000 0.0000 0.7500  2 Be 2.14, 4 Zn 2.40
Zn: 0.0000 0.0000 0.0000  12 Be 2.40
Be: 0.0000 0.2500 0.5000  2 Be 2.14, 4 Zn 2.40
Be: 0.2500 0.5000 0.0000  2 Be 2.14, 4 Zn 2.40
Zn: 0.5000 0.5000 0.5000  12 Be 2.40
Be: 0.7500 0.5000 0.0000  2 Be 2.14, 4 Zn 2.40
Be: 0.0000 0.7500 0.5000  2 Be 2.14, 4 Zn 2.40

Formation energy: 195 meV per atom
Space-group type: Pm-3n
Total energy: -2.92 eV per atom

---

Here is a relaxed LiYSbI2 crystal from Alexandria. Energies are from PBE.

abc: 6.0214 6.0214 6.0150
angles: 90.00 90.00 90.00
Closest atoms and distances in Å follow each position.
Fractional positions:
I: 0.5000 0.0000 0.0000  2 Y 3.01
Sb: 0.0000 0.0000 0.5000  2 Y 3.01
Li: 0.5000 0.5000 0.5000  8 I 4.26, 4 Sb 4.26
I: 0.0000 0.5000 0.0000  2 Y 3.01
Y: 0.0000 0.0000 0.0000  2 Sb 3.01, 4 I 3.01

Space-group type: P4/mmm
Energy relative to the elements, uncorrected: -2.6 eV/f.u.
Polymorph energy (0 for the lowest one): 0 meV/atom
Total energy: -3.64 eV per atom

---

| no. | density (g/cm³) |
| --- | --- |
| 1 | 1.56 |
| 2 | 5.31 |
| 3 | 8.98 |
| 4 | 6.18 |
| 5 | 5.33 |
| 6 | 5.66 |
| 7 | 4.62 |
| 8 | 7.71 |
| 9 | 3.90 |
| 10 | 3.59 |